A plane-wave DFT calculation with PBE was carried out for a relaxed CsFeGe2 crystal.

Results
The calculated formation energy comes out at 1024 meV per atom. The value obtained for the uncorrected energy is -3.613 eV per atom.

a b c (Å): 5.0035 5.0035 5.0035
angles (deg): 60.00 60.00 60.00
With the nearest neighbours (Å) after each atom.
Atoms (fractional coordinates):
Cs 0.0000 0.0000 0.0000  8 Ge 3.06
Fe 0.5000 0.5000 0.5000  8 Ge 3.06
Ge 0.2500 0.2500 0.2500  4 Fe 3.06, 4 Cs 3.06
Ge 0.7500 0.7500 0.7500  4 Fe 3.06, 4 Cs 3.06

=====

A plane-wave DFT calculation with PBE was carried out for a relaxed NpTa2Mo crystal.

Results
The calculated formation energy comes out at 231 meV per atom. The value obtained for the uncorrected energy is -11.638 eV per atom.

a b c (Å): 3.2009 3.2009 7.3818
angles (deg): 90.00 90.00 90.00
With the nearest neighbours (Å) after each atom.
Atoms (fractional coordinates):
Np 0.0000 0.0000 0.0000  8 Ta 3.08, 4 Np 3.20
Ta 0.5000 0.5000 0.2837  4 Mo 2.77, 4 Np 3.08
Ta 0.5000 0.5000 0.7163  4 Mo 2.77, 4 Np 3.08
Mo 0.0000 0.0000 0.5000  8 Ta 2.77

=====

Q: The highest calculated formation energy belongs to which entry?
A: CsFeGe2

=====

Q: The highest uncorrected energy belongs to which entry?
A: CsFeGe2

=====

Q: What is the uncorrected energy in the first record?
A: -3.613 eV per atom

=====

Q: Which of these has the highest calculated formation energy?
A: CsFeGe2